Entry 1:
An optimized crystal structure of Cr2PAu, computed with GGA-PBEsol.

ρ	11.0	g/cm3
formation enthalpy at 0 K	-0.068	eV per atom

a b c (Å): 2.801 2.801 6.396
angles (deg): 90.00 90.00 90.00
Fractional coordinates of all 4 atoms:
1 Cr 0.000 0.000 0.201
2 Cr 0.000 0.000 0.799
3 P 0.500 0.500 0.000
4 Au 0.500 0.500 0.500



Entry 2:
An optimized crystal structure of Y2CrPdAu, computed with GGA-PBEsol.

ρ	6.8	g/cm3
formation enthalpy at 0 K	0.226	eV per atom

a b c (Å): 5.225 5.225 4.749
angles (deg): 90.00 90.00 90.00
Fractional coordinates of all 5 atoms:
1 Y 0.000 0.500 0.000
2 Y 0.500 0.000 0.000
3 Cr 0.000 0.000 0.500
4 Pd 0.000 0.000 0.000
5 Au 0.500 0.500 0.500



Entry 3:
An optimized crystal structure of CrPtAu2, computed with GGA-PBEsol.

ρ	16.8	g/cm3
formation enthalpy at 0 K	0.142	eV per atom

a b c (Å): 4.478 4.478 4.478
angles (deg): 60.00 60.00 60.00
Fractional coordinates of all 4 atoms:
1 Cr 0.000 0.000 0.000
2 Pt 0.500 0.500 0.500
3 Au 0.250 0.250 0.250
4 Au 0.750 0.750 0.750



Entry 4:
An optimized crystal structure of CrPtAu2, computed with GGA-PBEsol.

ρ	17.1	g/cm3
formation enthalpy at 0 K	0.036	eV per atom

a b c (Å): 2.907 3.745 5.734
angles (deg): 90.00 90.00 90.00
Fractional coordinates of all 4 atoms:
1 Cr 0.000 0.000 0.000
2 Pt 0.500 0.500 0.216
3 Au 0.000 0.000 0.483
4 Au 0.500 0.500 0.742